The following is a DFT calculation (PBE) of crystalline ScAl4Tc at its relaxed geometry.

Values from the calculation:
Theoretical density ... 4.3 g cm⁻³
Uncorrected energy ... -5.527 eV/atom
Spin magnetization ... 0.000 μB per formula unit
Offset from the most stable computed form ... 0.046 eV/atom
Calculated volume ... 16.23 Å³/atom
Energy of formation from the pure elements ... -0.249 eV per atom

Structure (CIF):
```
data_ScAl4Tc
_symmetry_space_group_name_H-M 'I m m m'
_symmetry_Int_Tables_number 71
_symmetry_space_group_name_Hall '-I 2 2'
_cell_length_a 4.547
_cell_length_b 5.597
_cell_length_c 7.650
_cell_angle_alpha 90.00
_cell_angle_beta 90.00
_cell_angle_gamma 90.00
loop_
_atom_site_label
_atom_site_type_symbol
_atom_site_fract_x
_atom_site_fract_y
_atom_site_fract_z
Sc1 Sc 0.000 0.000 0.000
Al1 Al 0.000 0.239 0.332
Tc1 Tc 0.000 0.500 0.000
```